[1]
The following is a PBE-GGA calculation of an optimized crystal structure of Ta2MoRu, from Alexandria.

Cell: 4.397 2.849 5.319 Å, 81.00 90.00 90.00°
Fractional coordinates of all 4 atoms:
Ru 0.500 0.750 0.750
Mo 0.500 0.250 0.250
Ta 0.000 0.006 0.001
Ta 0.000 0.494 0.499

Calculated values
ΔH_f (0 K) = -0.146 eV per atom
Distance to the lowest polymorph of the same formula = 230 meV per atom
E_tot = -44.40 eV per cell
Volume = 16.5 Å³/atom
Total moment = 0.0 Bohr magnetons per cell

***

[2]
The following is a PBE-GGA calculation of an optimized crystal structure of TaMo2Ru, from Alexandria.

Cell: 5.282 5.282 5.282 Å, 144.84 130.56 62.11°
Fractional coordinates of all 4 atoms:
Ru 0.750 0.250 0.500
Ta 0.250 0.750 0.500
Mo 0.005 0.005 0.000
Mo 0.495 0.495 0.000

Calculated values
ΔH_f (0 K) = -0.083 eV per atom
Distance to the lowest polymorph of the same formula = 41 meV per atom
E_tot = -43.12 eV per cell
Volume = 15.9 Å³/atom
Total moment = 0.0 Bohr magnetons per cell

***

Question: Among the records above, which one has the lowest E_tot?
Answer: Ta2MoRu